1.
Density functional theory data (PBE) for a relaxed structure of La6NdSm2Mg.

Unit cell a=8.7635 b=8.7635 c=9.5679 alpha=95.82 beta=95.82 gamma=104.79
Closest atoms and distances in Å follow each position.
Element x y z (fractional)
La (0.0436, 0.4661, 0.6723)  1 Nd 3.26, 1 Mg 3.34, 3 La 3.45-3.59, 2 Sm 3.58-3.64
La (0.0623, 0.8237, 0.9012)  2 Mg 3.30-3.44, 3 La 3.32-3.59, 2 Sm 3.60-3.67
La (0.1763, 0.9377, 0.5988)  2 Mg 3.30-3.44, 3 La 3.32-3.59, 2 Sm 3.60-3.67
La (0.2385, 0.5801, 0.0807)  3 La 3.43-3.57, 1 Sm 3.49, 1 Mg 3.66, 2 Nd 3.74-3.76
La (0.4199, 0.7615, 0.4193)  3 La 3.43-3.57, 1 Sm 3.49, 1 Mg 3.66, 2 Nd 3.74-3.76
La (0.4661, 0.0436, 0.1723)  1 Nd 3.26, 1 Mg 3.34, 3 La 3.45-3.59, 2 Sm 3.58-3.64
La (0.5339, 0.9564, 0.8277)  1 Nd 3.26, 1 Mg 3.34, 3 La 3.45-3.59, 2 Sm 3.58-3.64
La (0.5801, 0.2385, 0.5807)  3 La 3.43-3.57, 1 Sm 3.49, 1 Mg 3.66, 2 Nd 3.74-3.76
La (0.7615, 0.4199, 0.9193)  3 La 3.43-3.57, 1 Sm 3.49, 1 Mg 3.66, 2 Nd 3.74-3.76
La (0.8237, 0.0623, 0.4012)  2 Mg 3.30-3.44, 3 La 3.32-3.59, 2 Sm 3.60-3.67
La (0.9377, 0.1763, 0.0988)  2 Mg 3.30-3.44, 3 La 3.32-3.59, 2 Sm 3.60-3.67
La (0.9564, 0.5339, 0.3277)  1 Nd 3.26, 1 Mg 3.34, 3 La 3.45-3.59, 2 Sm 3.58-3.64
Nd (0.4306, 0.5694, 0.7500)  2 La 3.26, 2 Sm 3.41
Nd (0.5694, 0.4306, 0.2500)  2 La 3.26, 2 Sm 3.41
Sm (0.2354, 0.2995, 0.4053)  1 Nd 3.41, 6 La 3.49-3.78, 1 Mg 3.50
Sm (0.2995, 0.2354, 0.9053)  1 Nd 3.41, 6 La 3.49-3.78, 1 Mg 3.50
Sm (0.7005, 0.7646, 0.0947)  1 Nd 3.41, 6 La 3.49-3.78, 1 Mg 3.50
Sm (0.7646, 0.7005, 0.5947)  1 Nd 3.41, 6 La 3.49-3.78, 1 Mg 3.50
Mg (0.0976, 0.9024, 0.2500)  8 La 3.30-3.66, 2 Sm 3.50
Mg (0.9024, 0.0976, 0.7500)  8 La 3.30-3.66, 2 Sm 3.50

Its space group is C2/c. Its volume is 35.03 Å³/atom. Its density of states at the Fermi level is 15.68 states/eV/f.u. The value obtained for the spin magnetization is 0.0 μB/f.u. As for the formation energy from the elements: 0.08 eV per atom.

---

2.
Density functional theory data (PBE) for a relaxed structure of CeSm2Hg.

Unit cell a=5.4117 b=5.4117 c=5.4117 alpha=60.00 beta=60.00 gamma=60.00
Closest atoms and distances in Å follow each position.
Element x y z (fractional)
Ce (0.0000, 0.0000, 0.0000)  8 Sm 3.31
Sm (0.2500, 0.2500, 0.2500)  4 Hg 3.31, 4 Ce 3.31
Sm (0.7500, 0.7500, 0.7500)  4 Hg 3.31, 4 Ce 3.31
Hg (0.5000, 0.5000, 0.5000)  8 Sm 3.31

Its space group is Fm-3m. Its volume is 28.02 Å³/atom. Its density of states at the Fermi level is 8.61 states/eV/f.u. The value obtained for the spin magnetization is 2.5 μB/f.u. As for the formation energy from the elements: -0.01 eV per atom.

---

3.
Density functional theory data (PBE) for a relaxed structure of KScMo2.

Unit cell a=5.5939 b=5.5939 c=2.6685 alpha=90.00 beta=90.00 gamma=90.00
Closest atoms and distances in Å follow each position.
Element x y z (fractional)
K (0.0000, 0.0000, 0.0000)  2 K 2.67
Sc (0.5000, 0.5000, 0.0000)  2 Sc 2.67
Mo (0.0000, 0.5000, 0.5000)  2 Mo 2.67
Mo (0.5000, 0.0000, 0.5000)  2 Mo 2.67

Its space group is P4/mmm. Its volume is 20.88 Å³/atom. Its density of states at the Fermi level is 5.35 states/eV/f.u. The value obtained for the spin magnetization is 0.0 μB/f.u. As for the formation energy from the elements: 1.50 eV per atom.

---

4.
Density functional theory data (PBE) for a relaxed structure of Sc8Te3P3Se.

Unit cell a=7.9524 b=7.9524 c=7.9524 alpha=58.15 beta=58.15 gamma=58.15
Closest atoms and distances in Å follow each position.
Element x y z (fractional)
Sc (0.2221, 0.7470, 0.7470)  2 P 2.60, 1 Se 2.74
Sc (0.2339, 0.2339, 0.2339)  3 P 2.60
Sc (0.2530, 0.2530, 0.7779)  2 P 2.60, 1 Se 2.74
Sc (0.2530, 0.7779, 0.2530)  2 P 2.60, 1 Se 2.74
Sc (0.7470, 0.2221, 0.7470)  2 P 2.60, 1 Se 2.74
Sc (0.7470, 0.7470, 0.2221)  2 P 2.60, 1 Se 2.74
Sc (0.7661, 0.7661, 0.7661)  3 P 2.60
Sc (0.7779, 0.2530, 0.2530)  2 P 2.60, 1 Se 2.74
Te (0.0000, 0.5000, 0.5000)  6 Sc 2.96-2.97
Te (0.5000, 0.0000, 0.5000)  6 Sc 2.96-2.97
Te (0.5000, 0.5000, 0.0000)  6 Sc 2.96-2.97
P (0.0000, 0.0000, 0.5000)  6 Sc 2.60
P (0.0000, 0.5000, 0.0000)  6 Sc 2.60
P (0.5000, 0.0000, 0.0000)  6 Sc 2.60
Se (0.5000, 0.5000, 0.5000)  6 Sc 2.74

Its space group is R-3m. The raw formation energy comes out at -1.2926 eV/atom. Its volume is 22.70 Å³/atom. Its density of states at the Fermi level is 7.25 states/eV/f.u. The value obtained for the spin magnetization is 0.0 μB/f.u.

---

5.
Density functional theory data (PBE) for a relaxed structure of KAlFe.

Unit cell a=6.7211 b=6.7211 c=6.7211 alpha=150.71 beta=150.71 gamma=41.90
Closest atoms and distances in Å follow each position.
Element x y z (fractional)
K (0.0000, 0.0000, 0.0000)  1 Al 3.28, 1 Fe 3.32, 4 K 3.40
Al (0.7387, 0.7387, 0.0000)  4 Fe 2.42
Fe (0.2642, 0.2642, 0.0000)  4 Al 2.42

Its space group is I4mm. Its volume is 24.16 Å³/atom. Its density of states at the Fermi level is 3.10 states/eV/f.u. The value obtained for the spin magnetization is 1.8 μB/f.u. As for the formation energy from the elements: 0.44 eV per atom.

---

6.
Density functional theory data (PBE) for a relaxed structure of PmCd4Sn.

Unit cell a=5.9727 b=5.9727 c=5.9727 alpha=60.00 beta=60.00 gamma=60.00
Closest atoms and distances in Å follow each position.
Element x y z (fractional)
Pm (0.0000, 0.0000, 0.0000)  12 Cd 3.50, 4 Sn 3.66
Cd (0.3751, 0.3751, 0.3751)  6 Cd 2.98-2.99
Cd (0.3751, 0.3751, 0.8748)  6 Cd 2.98-2.99
Cd (0.3751, 0.8748, 0.3751)  6 Cd 2.98-2.99
Cd (0.8748, 0.3751, 0.3751)  6 Cd 2.98-2.99
Sn (0.7500, 0.7500, 0.7500)  12 Cd 3.50, 4 Pm 3.66

Its space group is F-43m. Its volume is 25.11 Å³/atom. Its density of states at the Fermi level is 2.22 states/eV/f.u. The value obtained for the spin magnetization is 0.0 μB/f.u. As for the formation energy from the elements: -0.14 eV per atom.

---

7.
Density functional theory data (PBE) for a relaxed structure of LiCaEuCu.

Unit cell a=5.2933 b=5.2933 c=5.2933 alpha=60.00 beta=60.00 gamma=60.00
Closest atoms and distances in Å follow each position.
Element x y z (fractional)
Li (0.0000, 0.0000, 0.0000)  4 Ca 3.24, 4 Eu 3.24
Ca (0.2500, 0.2500, 0.2500)  4 Cu 3.24, 4 Li 3.24
Eu (0.7500, 0.7500, 0.7500)  4 Cu 3.24, 4 Li 3.24
Cu (0.5000, 0.5000, 0.5000)  4 Eu 3.24, 4 Ca 3.24

Its space group is F-43m. Its volume is 26.22 Å³/atom. Its density of states at the Fermi level is 9.04 states/eV/f.u. The value obtained for the spin magnetization is 7.6 μB/f.u. As for the formation energy from the elements: 0.01 eV per atom.

---

8.
Density functional theory data (PBE) for a relaxed structure of BaS2.

Unit cell a=5.2509 b=5.2509 c=9.1366 alpha=114.40 beta=114.40 gamma=54.75
Closest atoms and distances in Å follow each position.
Element x y z (fractional)
Ba (0.1408, 0.8592, 0.7500)  8 S 3.18-3.29
Ba (0.8592, 0.1408, 0.2500)  8 S 3.18-3.29
S (0.1952, 0.4827, 0.9797)  1 S 2.12
S (0.4827, 0.1952, 0.4797)  1 S 2.12
S (0.5173, 0.8048, 0.5203)  1 S 2.12
S (0.8048, 0.5173, 0.0203)  1 S 2.12

Its space group is C2/c. The raw formation energy comes out at -1.4184 eV/atom. Its volume is 30.35 Å³/atom. Its density of states at the Fermi level is 0.00 states/eV/f.u. The value obtained for the spin magnetization is 0.0 μB/f.u.

---

> density of states at the Fermi level of number 2 (CeSm2Hg)?

8.61 states/eV/f.u.